w | {
  "formula": "FeI2NO",
  "functional": "GGA+U",
  "state": "relaxed",
  "lattice": [[5.0011, 0.0000, 0.0000], [0.0000, 5.0011, 0.0000], [0.0000, 0.0000, 4.0508]],
  "species": ["Fe", "I", "I", "N", "O"],
  "fractional_positions": [[0.0000, 0.0000, 0.0000], [0.0000, 0.5000, 0.5000], [0.5000, 0.0000, 0.5000], [0.5000, 0.5000, 0.0000], [0.5000, 0.5000, 0.5000]],
  "volume_a3_per_atom": 20.26,
  "rho_g_cm3": 5.57,
  "magmom_total_mub_per_atom": 1.13
}

x | {
  "formula": "FeI2NO",
  "functional": "GGA+U",
  "state": "relaxed",
  "lattice": [[5.0153, 0.0000, 0.0000], [0.0000, 5.0153, 0.0000], [0.0000, 0.0000, 3.7383]],
  "species": ["Fe", "I", "I", "N", "O"],
  "fractional_positions": [[0.0000, 0.0000, 0.0000], [0.0000, 0.5000, 0.5000], [0.5000, 0.0000, 0.5000], [0.5000, 0.5000, 0.5000], [0.5000, 0.5000, 0.0000]],
  "volume_a3_per_atom": 18.81,
  "rho_g_cm3": 6.00,
  "magmom_total_mub_per_atom": 0.76
}

y | {
  "formula": "FeI2NO",
  "functional": "GGA+U",
  "state": "relaxed",
  "lattice": [[5.6647, 0.0000, 0.0000], [0.0000, 5.6647, 0.0000], [0.0000, 0.0000, 3.6619]],
  "species": ["Fe", "I", "I", "N", "O"],
  "fractional_positions": [[0.0000, 0.0000, 0.0000], [0.0000, 0.5000, 0.0000], [0.5000, 0.0000, 0.0000], [0.0000, 0.0000, 0.5000], [0.5000, 0.5000, 0.5000]],
  "volume_a3_per_atom": 23.50,
  "rho_g_cm3": 4.80,
  "magmom_total_mub_per_atom": 0.79
}

Q: Which of them is the least stable? A: w.